Entry 1:
Pa4In2N, optimized geometry, DFT PBE-GGA; formation energy without anion corrections = -0.235 eV/atom; spin magnetization = 0.000 μB/atom; space-group type = I4/mmm, No. 139; E = -7.633 eV/atom
1.0
4.692 0.000 0.000
0.000 4.692 0.000
2.346 2.346 7.961
N Pa In
1 4 2
Cartesian
0.000 0.000 0.000
4.692 4.692 2.423
2.346 2.346 5.538
0.000 2.346 0.000
2.346 0.000 0.000
4.692 4.692 5.616
2.346 2.346 2.345

Entry 2:
Ba3In4Hg2, optimized geometry, DFT PBE-GGA; energy of formation = -4.31 eV per formula unit; spin magnetization = 0.000 μB/atom; space-group type = C2/m, No. 12; E = -2.404 eV/atom
1.0
-4.792 -2.034 0.564
-0.731 -3.421 5.756
-4.562 5.819 6.531
Ba In Hg
3 4 2
Cartesian
-5.020 0.710 8.522
0.000 0.000 0.000
-5.065 -0.347 4.329
-1.888 -1.445 3.053
-8.198 1.809 9.798
-3.249 2.603 6.095
-6.837 -2.240 6.757
-3.834 -2.433 7.268
-6.252 2.796 5.584

Entry 3:
NaHg5Au, optimized geometry, DFT PBE-GGA; energy of formation = -0.69 eV per formula unit; spin magnetization = 0.000 μB/atom; space-group type = P4/mmm, No. 123; E = -0.971 eV/atom
1.0
5.080 0.000 0.000
0.000 5.080 0.000
0.000 0.000 7.013
Na Hg Au
1 5 1
Cartesian
0.000 0.000 0.000
2.540 0.000 5.041
0.000 2.540 5.041
2.540 2.540 0.000
0.000 2.540 1.972
2.540 0.000 1.972
0.000 0.000 3.506

Entry 4:
PaV2Te6, optimized geometry, DFT PBE-GGA; energy above the most stable polymorph in this dataset = 90 meV per atom; formation energy without anion corrections = -0.363 eV/atom; spin magnetization = 0.330 μB/atom; space-group type = C2/m, No. 12; E = -5.539 eV/atom
1.0
5.413 0.000 0.000
2.706 7.067 -0.584
2.706 2.211 7.145
Pa V Te
1 2 6
Cartesian
2.706 4.639 3.281
5.413 7.182 6.112
5.413 2.095 0.449
8.119 6.508 5.893
2.706 2.770 0.668
8.119 6.684 1.020
5.413 6.248 3.557
2.706 2.594 5.541
5.413 3.030 3.004

Entry 5:
BaY2P, optimized geometry, DFT PBE-GGA; energy of formation = -1.85 eV per formula unit; spin magnetization = 0.000 μB/atom; space-group type = Cmmm, No. 65; E = -5.528 eV/atom
1.0
-0.904 3.240 1.489
-2.267 -0.538 -2.847
-6.516 -4.603 6.060
Ba Y P
1 2 1
Cartesian
-4.844 -0.951 2.351
-1.109 -0.784 1.032
-5.407 -3.820 5.029
-1.586 1.351 -0.679

Entry 6:
EuDyPd2, optimized geometry, DFT PBE-GGA; energy of formation = -2.57 eV per formula unit; energy above the most stable polymorph in this dataset = 159 meV per atom; spin magnetization = 1.760 μB/atom; space-group type = R-3m, No. 166; E = -6.959 eV/atom
1.0
4.148 0.000 0.000
2.074 3.593 0.000
2.074 1.198 6.864
Eu Pd Dy
1 2 1
Cartesian
4.148 2.395 3.432
6.223 3.593 5.302
2.074 1.198 1.562
0.000 0.000 0.000

Entry 7:
RbMg2AgI6, optimized geometry, DFT PBE-GGA; formation energy without anion corrections = -0.932 eV/atom; spin magnetization = 0.000 μB/atom; space-group type = C2/c, No. 15; E = -2.563 eV/atom
1.0
-0.260 -4.357 -7.269
-4.182 -9.805 2.795
-9.638 2.789 -4.557
Rb Mg Ag I
2 4 2 12
Cartesian
-4.947 -9.277 0.034
-9.132 -2.096 -9.065
-9.194 -7.113 -2.944
-3.956 -3.927 -1.375
-4.886 -4.260 -6.087
-10.124 -7.445 -7.656
-8.572 -0.910 -4.851
-5.507 -10.463 -4.180
-11.783 -7.904 -2.395
-1.373 -3.123 -1.931
-2.297 -3.468 -6.636
-12.707 -8.250 -7.100
-7.473 -9.220 -2.589
-3.942 -5.824 0.608
-6.607 -2.153 -6.442
-10.137 -5.549 -9.639
-8.375 -5.361 -0.905
-4.892 -5.409 -3.572
-5.705 -6.012 -8.126
-9.188 -5.964 -5.459

Entry 8:
K3Pr3ReO8, optimized geometry, DFT PBE-GGA; formation energy without anion corrections = -2.282 eV/atom; spin magnetization = 0.200 μB/atom; space-group type = R-3m, No. 166; E = -6.932 eV/atom
1.0
-6.921 1.354 0.812
3.198 -4.766 4.177
1.552 7.283 1.089
K Pr Re O
3 3 1 8
Cartesian
0.000 0.000 0.000
1.599 -2.383 2.088
-1.861 -1.706 2.494
-2.684 4.318 0.951
-1.085 1.935 3.039
2.375 1.258 2.633
0.776 3.641 0.544
0.336 0.036 2.800
-2.506 3.834 3.278
-3.110 0.635 3.458
0.940 3.235 2.620
-4.896 3.296 1.126
2.726 0.574 4.952
-1.032 2.540 0.673
-1.138 1.330 5.405

Entry 9:
Ba2EuGe, optimized geometry, DFT PBE-GGA; energy of formation = -0.79 eV per formula unit; energy above the most stable polymorph in this dataset = 0 meV per atom; spin magnetization = 2.000 μB/atom; space-group type = P4/mmm, No. 123; E = -4.881 eV/atom
1.0
-3.039 -2.435 -1.265
-0.339 -1.539 3.779
-7.022 7.502 2.425
Eu Ge Ba
1 1 2
Cartesian
-5.200 1.764 2.470
-1.689 -1.987 1.257
-5.784 6.179 1.998
-1.238 1.323 0.428

Entry 10:
Rb2NpI4Br2, optimized geometry, DFT PBE-GGA; formation energy without anion corrections = -1.261 eV/atom; spin magnetization = 0.333 μB/atom; space-group type = C2/m, No. 12; E = -3.975 eV/atom
1.0
-3.563 -3.112 7.115
-6.235 -5.424 -0.335
1.428 -7.760 2.480
Rb Np I Br
2 1 4 2
Cartesian
-4.446 -10.645 3.269
-3.924 -5.650 5.991
-1.781 -1.556 3.558
-5.179 -6.410 2.369
-7.025 -8.716 5.482
-3.191 -9.885 6.891
-1.344 -7.579 3.778
-1.825 -3.735 1.867
-6.545 -12.560 7.393

Entry 11:
Li2Ni5Os, optimized geometry, DFT PBE-GGA; energy of formation = 0.35 eV per formula unit; spin magnetization = 0.176 μB/atom; space-group type = I4/mmm, No. 139; E = -5.452 eV/atom
1.0
4.729 -0.259 -1.459
-2.637 3.933 -1.460
0.144 0.255 4.947
Li Ni Os
2 5 1
Cartesian
-0.667 3.115 0.933
3.017 1.019 0.933
0.653 1.150 1.663
-0.736 2.987 -1.541
3.091 1.147 3.406
1.698 2.987 0.203
0.582 1.020 -0.811
1.773 3.114 2.676

Entry 12:
EuEr2Rh, optimized geometry, DFT PBE-GGA; energy of formation = -1.70 eV per formula unit; energy above the most stable polymorph in this dataset = 0 meV per atom; spin magnetization = 1.897 μB/atom; space-group type = P4/mmm, No. 123; E = -7.112 eV/atom
1.0
3.485 0.000 0.000
0.000 3.485 0.000
0.000 0.000 9.096
Eu Rh Er
1 1 2
Cartesian
1.742 1.742 4.548
1.742 1.742 0.000
0.000 0.000 7.501
0.000 0.000 1.595

Entry 13:
Rb2ZnPCl6, optimized geometry, DFT PBE-GGA; formation energy without anion corrections = -1.050 eV/atom; spin magnetization = 0.000 μB/atom; space-group type = I4/mmm, No. 139; E = -3.020 eV/atom
1.0
-0.579 1.356 -7.381
-6.276 -4.147 -0.269
-5.913 2.310 -2.949
P Zn Rb Cl
1 1 2 6
Cartesian
-3.428 -1.395 -3.825
0.000 0.000 0.000
-4.960 1.135 -7.078
-7.808 -1.616 -3.522
-4.709 0.514 -3.374
-8.060 -0.995 -7.226
-1.825 -0.743 -2.037
-5.030 -2.048 -5.613
-2.096 -0.109 -5.488
-4.759 -2.682 -2.162

Entry 14:
Pr6Er2Tm, optimized geometry, DFT PBE-GGA; energy of formation = 1.02 eV per formula unit; energy above the most stable polymorph in this dataset = 0 meV per atom; spin magnetization = 0.000 μB/atom; space-group type = C2/c, No. 15; E = -4.584 eV/atom
1.0
6.737 -0.177 -0.171
1.813 9.577 -1.164
1.813 -0.853 9.610
Pr Er Tm
12 4 2
Cartesian
5.147 5.806 1.749
8.584 6.522 2.442
5.216 2.741 6.525
1.779 2.025 5.832
5.676 0.197 4.174
8.055 4.280 8.127
4.687 8.350 4.100
2.308 4.267 0.147
5.256 6.437 8.277
1.739 0.154 2.194
5.107 2.110 -0.003
8.624 8.393 6.080
3.238 5.377 5.569
3.757 2.895 3.167
7.125 3.170 2.705
6.606 5.652 5.108
3.497 0.220 8.412
6.866 8.327 -0.138

Entry 15:
RbTi3Br, optimized geometry, DFT PBE-GGA; energy above the most stable polymorph in this dataset = 0 meV per atom; formation energy without anion corrections = 0.985 eV/atom; spin magnetization = 0.000 μB/atom; space-group type = Pm-3m, No. 221; E = -4.280 eV/atom
1.0
4.959 0.000 0.000
0.000 4.959 0.000
0.000 0.000 4.959
Br Rb Ti
1 1 3
Cartesian
0.000 0.000 0.000
2.480 2.480 2.480
0.000 2.480 0.000
0.000 0.000 2.480
2.480 0.000 0.000

Entry 16:
FeSi, optimized geometry, DFT PBE-GGA; formation energy without anion corrections = -0.374 eV/atom; spin magnetization = 0.178 μB/atom; space-group type = Cm, No. 8; E = -7.317 eV/atom
1.0
1.392 4.122 -0.003
-1.392 4.122 -0.003
0.000 1.388 5.883
Fe Si
3 3
Cartesian
0.000 0.436 0.080
0.000 2.875 1.915
0.000 4.174 4.275
0.000 6.431 3.818
0.000 0.583 2.454
0.000 6.370 0.188

Entry 17:
TbNd2PaRu2, optimized geometry, DFT PBE-GGA; energy of formation = -1.75 eV per formula unit; spin magnetization = 0.000 μB/atom; space-group type = Ibam, No. 72; E = -7.326 eV/atom
1.0
6.843 0.000 0.000
0.000 6.940 0.000
-3.421 -3.470 6.793
Tb Nd Pa Ru
2 4 2 4
Cartesian
1.711 0.000 0.000
5.132 0.000 0.000
3.421 5.015 2.633
0.000 1.926 2.633
3.421 1.545 4.160
0.000 -1.545 4.160
5.132 3.470 0.000
1.711 3.470 0.000
0.000 1.458 5.490
3.421 2.013 1.303
0.000 4.928 1.303
3.421 -1.458 5.490

Entry 18:
NaY5Hg6, optimized geometry, DFT PBE-GGA; energy of formation = -5.54 eV per formula unit; spin magnetization = 0.000 μB/atom; space-group type = Cmmm, No. 65; E = -3.416 eV/atom
1.0
-3.483 -2.168 -3.281
5.532 -3.333 -3.670
-2.343 -7.325 3.122
Y Na Hg
5 1 6
Cartesian
-1.118 -7.996 -1.940
-1.936 -3.105 -0.098
2.766 -1.667 -1.835
-3.890 -6.387 -0.061
0.824 -4.830 -1.888
0.000 0.000 0.000
0.474 -6.772 -4.439
-2.313 -5.093 -2.590
-0.324 -1.938 -2.581
2.373 -3.563 -4.370
2.019 -7.733 -1.238
-0.768 -6.054 0.611

Entry 19:
CaCrAg2Pt, optimized geometry, DFT PBE-GGA; energy of formation = 1.58 eV per formula unit; spin magnetization = 0.787 μB/atom; space-group type = P4/mmm, No. 123; E = -4.358 eV/atom
1.0
5.189 0.000 0.000
0.000 4.731 0.000
0.000 0.000 5.189
Cr Ca Ag Pt
1 1 2 1
Cartesian
0.000 2.366 0.000
2.594 2.366 2.594
0.000 0.000 2.594
2.594 0.000 0.000
0.000 0.000 0.000

Entry 20:
Pr12Cu6Pb, optimized geometry, DFT PBE-GGA; energy of formation = -2.43 eV per formula unit; spin magnetization = 0.000 μB/atom; space-group type = Im-3, No. 204; E = -4.635 eV/atom
1.0
8.937 0.000 0.000
-2.979 8.426 0.000
-2.979 -4.213 7.297
Pr Cu Pb
12 6 1
Cartesian
-0.069 -2.471 5.927
0.672 3.325 1.371
2.307 0.889 5.927
3.048 6.684 1.371
-2.307 5.577 2.194
2.910 0.316 2.194
0.069 3.897 5.104
5.286 -1.364 5.104
6.027 2.058 0.823
-0.672 0.475 3.565
3.651 3.738 3.733
-3.048 2.155 6.474
-0.716 0.506 6.421
3.695 3.707 0.877
0.716 5.814 2.772
2.263 -1.600 4.525
5.242 1.094 3.649
-2.263 3.119 3.649
0.000 0.000 0.000